[1]
The following is a DFT calculation (PBE) of crystalline Rb4AgS2 at its relaxed geometry.

```
data_Rb4AgS2
_space_group_name_H-M_alt 'R -3 m'
_space_group_IT_number 166
_space_group_name_Hall '-R 3 2"'
_cell_length_a 5.8325
_cell_length_b 5.8325
_cell_length_c 28.2251
_cell_angle_alpha 90.00
_cell_angle_beta 90.00
_cell_angle_gamma 120.00
loop_
_atom_site_label
_atom_site_type_symbol
_atom_site_fract_x
_atom_site_fract_y
_atom_site_fract_z
_atom_site_occupancy
Rb1 Rb 0.0000 0.0000 0.1105 1
Rb2 Rb 0.0000 0.0000 0.2915 1
Ag1 Ag 0.0000 0.0000 0.5000 1
S1 S 0.0000 0.0000 0.4131 1
```

***

[2]
The following is a DFT calculation (PBE) of crystalline Rb2Ag3S4 at its relaxed geometry.

```
data_Rb2Ag3S4
_space_group_name_H-M_alt 'F m m m'
_space_group_IT_number 69
_space_group_name_Hall '-F 2 2'
_cell_length_a 7.108
_cell_length_b 10.230
_cell_length_c 14.287
_cell_angle_alpha 90.00
_cell_angle_beta 90.00
_cell_angle_gamma 90.00
loop_
_atom_site_label
_atom_site_type_symbol
_atom_site_fract_x
_atom_site_fract_y
_atom_site_fract_z
_atom_site_occupancy
Rb1 Rb 0.000 0.000 0.187 1
Ag1 Ag 0.000 0.000 0.500 1
Ag2 Ag 0.250 0.250 0.000 1
S1 S 0.000 0.196 0.384 1
```

***

[3]
The following is a DFT calculation (PBE) of crystalline Rb3AgS4 at its relaxed geometry.

```
data_Rb3AgS4
_space_group_name_H-M_alt 'I m m m'
_space_group_IT_number 71
_space_group_name_Hall '-I 2 2'
_cell_length_a 5.192
_cell_length_b 5.553
_cell_length_c 17.312
_cell_angle_alpha 90.00
_cell_angle_beta 90.00
_cell_angle_gamma 90.00
loop_
_atom_site_label
_atom_site_type_symbol
_atom_site_fract_x
_atom_site_fract_y
_atom_site_fract_z
_atom_site_occupancy
Rb1 Rb 0.000 0.000 0.000 1
Rb2 Rb 0.000 0.500 0.195 1
Ag1 Ag 0.000 0.000 0.500 1
S1 S 0.000 0.307 0.381 1
```

***

[4]
The following is a DFT calculation (PBE) of crystalline RbAg3S3 at its relaxed geometry.

```
data_RbAg3S3
_space_group_name_H-M_alt 'P m -3 n'
_space_group_IT_number 223
_space_group_name_Hall '-P 4n 2 3'
_cell_length_a 7.099
_cell_length_b 7.099
_cell_length_c 7.099
_cell_angle_alpha 90.00
_cell_angle_beta 90.00
_cell_angle_gamma 90.00
loop_
_atom_site_label
_atom_site_type_symbol
_atom_site_fract_x
_atom_site_fract_y
_atom_site_fract_z
_atom_site_occupancy
Rb1 Rb 0.000 0.000 0.000 1
Ag1 Ag 0.000 0.250 0.500 1
S1 S 0.000 0.500 0.250 1
```

Values from the calculation:
**Excess energy over the best structure of this formula in the dataset**: 0.000 eV/atom

***

These records have uncorrected formation energy values of -676.0, -336.1, -667.0, -241.1 meV per atom, in the order they appear.
These records have VASP energy values of -2.82, -3.34, -3.45, -3.37 eV/atom, in the order they appear.
These records have D(E_F) values of 0.3289, 0.5781, 0.0303, 0.8256 states/eV per atom, in the order they appear.